Record 1
Computed, not measured: crystalline Pm2Pr6Nd at its relaxed geometry at the PBE level of DFT.

```
Pm2Pr6Nd
1.0
-3.994 2.812 6.781
-5.351 -6.400 -0.497
6.427 -5.856 6.214
Pr Nd Pm
12 2 4
direct
0.738 0.738 0.667 Pr
0.737 0.737 0.000 Pr
0.263 0.263 0.000 Pr
0.762 0.238 0.833 Pr
0.237 0.763 0.500 Pr
0.238 0.762 0.167 Pr
0.738 0.738 0.333 Pr
0.762 0.238 0.167 Pr
0.262 0.262 0.333 Pr
0.763 0.237 0.500 Pr
0.238 0.762 0.833 Pr
0.262 0.262 0.667 Pr
0.000 0.000 0.000 Nd
0.500 0.500 0.500 Nd
0.000 0.000 0.667 Pm
0.000 0.000 0.333 Pm
0.500 0.500 0.167 Pm
0.500 0.500 0.833 Pm
```

## Properties
E above lowest polymorph   9.56 kcal/mol of atoms
Uncorrected energy   -4.195 eV/atom
Magnetization   0.00 μB per atom
Calculated formation energy   0.58 eV/atom

---

Record 2
Computed, not measured: crystalline Pm3Pr8Nd2 at its relaxed geometry at the PBE level of DFT.

```
Pm3Pr8Nd2
1.0
5.802 0.000 0.771
0.000 7.782 0.000
-1.384 -3.891 10.376
Nd Pr Pm
2 8 3
direct
0.501 0.759 0.517 Nd
0.499 0.241 0.483 Nd
0.500 0.188 0.790 Pr
0.500 0.602 0.790 Pr
0.999 0.328 0.656 Pr
0.500 0.812 0.210 Pr
0.000 0.133 0.266 Pr
0.000 0.867 0.734 Pr
0.500 0.398 0.210 Pr
0.001 0.672 0.344 Pr
0.000 0.286 0.000 Pm
0.000 0.714 0.000 Pm
0.500 0.000 0.000 Pm
```

## Properties
E above lowest polymorph   1.18 kcal/mol of atoms
Uncorrected energy   -4.572 eV/atom
Magnetization   0.00 μB per atom
Calculated formation energy   0.20 eV/atom

---

- What is the calculated formation energy in the second record?
  0.20 eV/atom

---

Please write out number 2 again, unchanged.
Computed, not measured: crystalline Pm3Pr8Nd2 at its relaxed geometry at the PBE level of DFT.

```
Pm3Pr8Nd2
1.0
5.802 0.000 0.771
0.000 7.782 0.000
-1.384 -3.891 10.376
Nd Pr Pm
2 8 3
direct
0.501 0.759 0.517 Nd
0.499 0.241 0.483 Nd
0.500 0.188 0.790 Pr
0.500 0.602 0.790 Pr
0.999 0.328 0.656 Pr
0.500 0.812 0.210 Pr
0.000 0.133 0.266 Pr
0.000 0.867 0.734 Pr
0.500 0.398 0.210 Pr
0.001 0.672 0.344 Pr
0.000 0.286 0.000 Pm
0.000 0.714 0.000 Pm
0.500 0.000 0.000 Pm
```

## Properties
E above lowest polymorph   1.18 kcal/mol of atoms
Uncorrected energy   -4.572 eV/atom
Magnetization   0.00 μB per atom
Calculated formation energy   0.20 eV/atom

---

- uncorrected energy of number 2 (Pm3Pr8Nd2)?
  -4.572 eV/atom